Record 1
The following is a DFT calculation (GGA-PBE) of a relaxed structure of ThGaGe2.

It has space group P4/mmm (No. 123), with a = 4.478 Å, b = 4.478 Å, c = 4.280 Å, α = 90.00°, β = 90.00° and γ = 90.00°. The asymmetric unit holds Th at (0.000, 0.000, 0.000), Ga at (0.500, 0.500, 0.000) and Ge at (0.000, 0.500, 0.500).

As for the formation energy: -188 kJ/mol of formula units. As for the excess energy over the best structure of this formula in the dataset: 0.0 meV/atom. The total magnetization comes out at 0.0 μB per cell. The density of states at the Fermi level is 0.4500 states/eV/atom.


Record 2
The following is a DFT calculation (GGA-PBE) of a relaxed structure of BSb3W.

It has space group Pm-3m (No. 221), with a = 4.682 Å, b = 4.682 Å, c = 4.682 Å, α = 90.00°, β = 90.00° and γ = 90.00°. The asymmetric unit holds B at (0.000, 0.000, 0.000), Sb at (0.000, 0.000, 0.500) and W at (0.500, 0.500, 0.500).

The calculation puts the raw formation energy at 1.381 eV/atom. As for the excess energy over the best structure of this formula in the dataset: 0.0 meV/atom. The total magnetization comes out at 0.0 μB per cell. The density of states at the Fermi level is 1.4639 states/eV/atom.


Record 3
The following is a DFT calculation (GGA-PBE) of a relaxed structure of Ca2BiAu.

It has space group R3m (No. 160, hexagonal axes), with a = 4.2947 Å, b = 4.2947 Å, c = 23.5566 Å, α = 90.00°, β = 90.00° and γ = 120.00°. The asymmetric unit holds Ca at (0.0000, 0.0000, 0.0000), Ca at (0.0000, 0.0000, 0.1818), Bi at (0.0000, 0.0000, 0.4248) and Au at (0.0000, 0.0000, 0.5898).

As for the formation energy: -241 kJ/mol of formula units. The total magnetization comes out at 0.0 μB per cell. The density of states at the Fermi level is 0.8471 states/eV/atom.


Record 4
The following is a DFT calculation (GGA-PBE) of a relaxed structure of LaOs2.

It has space group I4/mcm (No. 140), with a = 6.854 Å, b = 6.854 Å, c = 5.400 Å, α = 90.00°, β = 90.00° and γ = 90.00°. The asymmetric unit holds La at (0.000, 0.000, 0.250) and Os at (0.121, 0.379, 0.000).

As for the formation energy: 433 kJ/mol of formula units. The total magnetization comes out at 0.0 μB per cell. The density of states at the Fermi level is 1.4253 states/eV/atom.


Record 5
The following is a DFT calculation (GGA-PBE) of a relaxed structure of Li2PuNpN4.

It has space group I-4m2 (No. 119), with a = 4.317 Å, b = 4.317 Å, c = 11.093 Å, α = 90.00°, β = 90.00° and γ = 90.00°. The asymmetric unit holds Li at (0.000, 0.000, 0.000), Li at (0.000, 0.500, 0.250), Pu at (0.000, 0.000, 0.500), Np at (0.000, 0.500, 0.750), N at (0.000, 0.000, 0.285) and N at (0.000, 0.500, 0.552).

The calculation puts the raw formation energy at -1.016 eV/atom. The total magnetization comes out at 10.0 μB per cell. The density of states at the Fermi level is 1.1582 states/eV/atom.


Record 6
The following is a DFT calculation (GGA-PBE) of a relaxed structure of Ba2PrHg.

It has space group R-3m (No. 166, hexagonal axes), with a = 3.9937 Å, b = 3.9937 Å, c = 38.2344 Å, α = 90.00°, β = 90.00° and γ = 120.00°. The asymmetric unit holds Ba at (0.0000, 0.0000, 0.0985), Pr at (0.0000, 0.0000, 0.0000) and Hg at (0.0000, 0.0000, 0.5000).

As for the formation energy: 41 kJ/mol of formula units. As for the excess energy over the best structure of this formula in the dataset: 223.9 meV/atom. The total magnetization comes out at 1.1 μB per cell. The density of states at the Fermi level is 1.5720 states/eV/atom.


Record 7
The following is a DFT calculation (GGA-PBE) of a relaxed structure of GaFe2AgSn.

It has space group P4/mmm (No. 123), with a = 4.522 Å, b = 4.522 Å, c = 5.098 Å, α = 90.00°, β = 90.00° and γ = 90.00°. The asymmetric unit holds Ga at (0.000, 0.000, 0.000), Fe at (0.000, 0.500, 0.000), Ag at (0.500, 0.500, 0.500) and Sn at (0.000, 0.000, 0.500).

As for the formation energy: 459 kJ/mol of formula units. The total magnetization comes out at 5.4 μB per cell. The density of states at the Fermi level is 1.1410 states/eV/atom.


Record 8
The following is a DFT calculation (GGA-PBE) of a relaxed structure of BeC.

It has space group P4/nmm (No. 129, origin choice 2), with a = 3.324 Å, b = 3.324 Å, c = 3.288 Å, α = 90.00°, β = 90.00° and γ = 90.00°. The asymmetric unit holds Be at (0.250, 0.750, 0.000) and C at (0.250, 0.250, 0.206).

As for the formation energy: 270 kJ/mol of formula units. As for the excess energy over the best structure of this formula in the dataset: 1078.0 meV/atom. The total magnetization comes out at 0.0 μB per cell. The density of states at the Fermi level is 0.3488 states/eV/atom.


Q: Which of these has the highest total magnetization?
A: Li2PuNpN4


Q: Number 8 is which compound?
A: BeC